! PBE Ca3Ga3Pt, relaxed; values from VASP
! space group: C2/m, No. 12
! Fermi-level density of states: 4.65 states/eV/f.u.
! calculated formation energy: -655 meV/atom
! E: -3.6728 eV per atom
! M_tot: 0.00 μB per cell
&SYSTEM
  ibrav = 0, nat = 14, ntyp = 3
/
ATOMIC_SPECIES
Ga 69.72 Ga.upf
Pt 195.08 Pt.upf
Ca 40.08 Ca.upf
ATOMIC_POSITIONS angstrom
Ga 4.065 0.711 1.750
Ga 2.246 4.943 13.828
Ga 5.826 4.678 4.432
Ga 0.486 0.977 11.146
Ga 5.181 4.400 8.713
Ga 1.130 1.254 6.866
Pt 2.896 5.150 9.511
Pt 3.415 0.505 6.068
Ca 1.611 1.445 3.676
Ca 2.266 1.770 13.699
Ca 4.046 3.884 1.880
Ca 3.396 3.671 6.197
Ca 2.916 1.983 9.381
Ca 4.701 4.209 11.902
CELL_PARAMETERS angstrom
4.233 0.000 0.638
2.081 5.536 0.552
-0.003 0.119 14.389